{"formula": "NpInRe", "functional": "PBE", "state": "optimized geometry", "e_tot_ev_per_atom": -8.74, "e_above_lowest_polymorph_mev_per_atom": 0.0, "crystal_system": "cubic", "cell": [[0.0000, 3.2800, 3.2800], [3.2800, 0.0000, 3.2800], [3.2800, 3.2800, 0.0000]], "species": ["In", "Np", "Re"], "frac_coords": [[0.7500, 0.7500, 0.7500], [0.2500, 0.2500, 0.2500], [0.0000, 0.0000, 0.0000]]}